# ZrScAl2 (PBE-GGA, relaxed)
data_ZrScAl2
_symmetry_space_group_name_H-M 'F -4 3 m'
_symmetry_Int_Tables_number 216
_symmetry_space_group_name_Hall 'F -4 2 3'
_cell_length_a 6.754
_cell_length_b 6.754
_cell_length_c 6.754
_cell_angle_alpha 90.00
_cell_angle_beta 90.00
_cell_angle_gamma 90.00
loop_
_atom_site_label
_atom_site_fract_x
_atom_site_fract_y
_atom_site_fract_z
Zr1 0.000 0.000 0.000
Sc1 0.250 0.250 0.750
Al1 0.000 0.000 0.500
Al2 0.250 0.250 0.250
# Calculated volume ... 308.1 Å³ per cell
# Total DFT energy (no corrections) ... -89.8 eV/cell
# Energy of formation ... -0.02 eV per atom
# Energy relative to the lowest polymorph listed for this composition ... 418.4 meV per atom

# ErZn2Ni (PBE-GGA, relaxed)
data_ErZn2Ni
_symmetry_space_group_name_H-M 'P 1 21/m 1'
_symmetry_Int_Tables_number 11
_symmetry_space_group_name_Hall '-P 2yb'
_cell_length_a 3.978
_cell_length_b 7.206
_cell_length_c 5.108
_cell_angle_alpha 90.00
_cell_angle_beta 112.68
_cell_angle_gamma 90.00
loop_
_atom_site_label
_atom_site_fract_x
_atom_site_fract_y
_atom_site_fract_z
Er1 0.066 0.250 0.132
Zn1 0.354 0.054 0.708
Ni1 0.220 0.750 0.442
# Calculated volume ... 135.1 Å³ per cell
# Total DFT energy (no corrections) ... -29.2 eV/cell
# Energy of formation ... -0.42 eV per atom

# SrCa3 (PBE-GGA, relaxed)
data_SrCa3
_symmetry_space_group_name_H-M 'P 4/m m m'
_symmetry_Int_Tables_number 123
_symmetry_space_group_name_Hall '-P 4 2'
_cell_length_a 4.554
_cell_length_b 4.554
_cell_length_c 8.624
_cell_angle_alpha 90.00
_cell_angle_beta 90.00
_cell_angle_gamma 90.00
loop_
_atom_site_label
_atom_site_fract_x
_atom_site_fract_y
_atom_site_fract_z
Sr1 0.000 0.000 0.000
Ca1 0.000 0.000 0.500
Ca2 0.500 0.500 0.266
# Calculated volume ... 178.9 Å³ per cell
# Total DFT energy (no corrections) ... -7.6 eV/cell
# Energy of formation ... 0.02 eV per atom
# Energy relative to the lowest polymorph listed for this composition ... 5.8 meV per atom

# ReTcCl2 (PBE-GGA, relaxed)
data_ReTcCl2
_symmetry_space_group_name_H-M 'C m m m'
_symmetry_Int_Tables_number 65
_symmetry_space_group_name_Hall '-C 2 2'
_cell_length_a 2.827
_cell_length_b 5.319
_cell_length_c 8.589
_cell_angle_alpha 90.00
_cell_angle_beta 90.00
_cell_angle_gamma 90.00
loop_
_atom_site_label
_atom_site_fract_x
_atom_site_fract_y
_atom_site_fract_z
Re1 0.000 0.000 0.000
Tc1 0.000 0.000 0.500
Cl1 0.000 0.500 0.241
# Calculated volume ... 129.1 Å³ per cell
# Total DFT energy (no corrections) ... -45.4 eV/cell
# Energy relative to the lowest polymorph listed for this composition ... 1103.6 meV per atom
# Raw formation energy ... 953 meV/atom

# Ac2CeHo (PBE-GGA, relaxed)
data_Ac2CeHo
_symmetry_space_group_name_H-M 'F m -3 m'
_symmetry_Int_Tables_number 225
_symmetry_space_group_name_Hall '-F 4 2 3'
_cell_length_a 8.481
_cell_length_b 8.481
_cell_length_c 8.481
_cell_angle_alpha 90.00
_cell_angle_beta 90.00
_cell_angle_gamma 90.00
loop_
_atom_site_label
_atom_site_fract_x
_atom_site_fract_y
_atom_site_fract_z
Ac1 0.250 0.250 0.250
Ce1 0.000 0.000 0.000
Ho1 0.000 0.000 0.500
# Calculated volume ... 610.0 Å³ per cell
# Total DFT energy (no corrections) ... -71.4 eV/cell
# Energy of formation ... 0.22 eV per atom
# Energy relative to the lowest polymorph listed for this composition ... 100.5 meV per atom

# PrH2Rh (PBE-GGA, relaxed)
data_PrH2Rh
_symmetry_space_group_name_H-M 'P 1 2/m 1'
_symmetry_Int_Tables_number 10
_symmetry_space_group_name_Hall '-P 2y'
_cell_length_a 3.665
_cell_length_b 3.779
_cell_length_c 3.692
_cell_angle_alpha 90.00
_cell_angle_beta 90.16
_cell_angle_gamma 90.00
loop_
_atom_site_label
_atom_site_fract_x
_atom_site_fract_y
_atom_site_fract_z
Pr1 0.000 0.000 0.000
H1 0.500 0.000 0.500
H2 0.500 0.500 0.000
Rh1 0.500 0.500 0.500
# Calculated volume ... 51.1 Å³ per cell
# Total DFT energy (no corrections) ... -21.1 eV/cell
# Energy relative to the lowest polymorph listed for this composition ... 0.0 meV per atom

# Nd2ThCuTe5 (PBE-GGA, relaxed)
data_Nd2ThCuTe5
_symmetry_space_group_name_H-M 'C m c 21'
_symmetry_Int_Tables_number 36
_symmetry_space_group_name_Hall 'C 2c -2'
_cell_length_a 4.310
_cell_length_b 19.357
_cell_length_c 13.203
_cell_angle_alpha 90.00
_cell_angle_beta 90.00
_cell_angle_gamma 90.00
loop_
_atom_site_label
_atom_site_fract_x
_atom_site_fract_y
_atom_site_fract_z
Nd1 0.000 0.108 0.000
Nd2 0.000 0.122 0.622
Th1 0.000 0.193 0.325
Cu1 0.000 0.429 0.771
Te1 0.000 0.041 0.376
Te2 0.000 0.288 0.997
Te3 0.000 0.317 0.654
Te4 0.000 0.358 0.316
Te5 0.000 0.499 0.101
# Calculated volume ... 1101.6 Å³ per cell
# Total DFT energy (no corrections) ... -187.3 eV/cell
# Raw formation energy ... -1119 meV/atom

# K2Sb (PBE-GGA, relaxed)
data_K2Sb
_symmetry_space_group_name_H-M 'F m -3 m'
_symmetry_Int_Tables_number 225
_symmetry_space_group_name_Hall '-F 4 2 3'
_cell_length_a 8.405
_cell_length_b 8.405
_cell_length_c 8.405
_cell_angle_alpha 90.00
_cell_angle_beta 90.00
_cell_angle_gamma 90.00
loop_
_atom_site_label
_atom_site_fract_x
_atom_site_fract_y
_atom_site_fract_z
K1 0.250 0.250 0.250
Sb1 0.000 0.000 0.000
# Calculated volume ... 593.9 Å³ per cell
# Total DFT energy (no corrections) ... -28.2 eV/cell
# Energy relative to the lowest polymorph listed for this composition ... 163.6 meV per atom
# Raw formation energy ... -243 meV/atom

# NaPrNd (PBE-GGA, relaxed)
data_NaPrNd
_symmetry_space_group_name_H-M 'P 3 m 1'
_symmetry_Int_Tables_number 156
_symmetry_space_group_name_Hall 'P 3 -2"'
_cell_length_a 3.6663
_cell_length_b 3.6663
_cell_length_c 9.3740
_cell_angle_alpha 90.00
_cell_angle_beta 90.00
_cell_angle_gamma 120.00
loop_
_atom_site_label
_atom_site_fract_x
_atom_site_fract_y
_atom_site_fract_z
Na1 0.0000 0.0000 0.0000
Pr1 0.6667 0.3333 0.3474
Nd1 0.3333 0.6667 0.6547
# Calculated volume ... 109.1 Å³ per cell
# Total DFT energy (no corrections) ... -10.6 eV/cell
# Energy of formation ... 0.10 eV per atom
# Energy relative to the lowest polymorph listed for this composition ... 35.0 meV per atom

# MgCdGePd (PBE-GGA, relaxed)
data_MgCdGePd
_symmetry_space_group_name_H-M 'F -4 3 m'
_symmetry_Int_Tables_number 216
_symmetry_space_group_name_Hall 'F -4 2 3'
_cell_length_a 6.613
_cell_length_b 6.613
_cell_length_c 6.613
_cell_angle_alpha 90.00
_cell_angle_beta 90.00
_cell_angle_gamma 90.00
loop_
_atom_site_label
_atom_site_fract_x
_atom_site_fract_y
_atom_site_fract_z
Mg1 0.000 0.000 0.000
Cd1 0.250 0.250 0.250
Ge1 0.250 0.250 0.750
Pd1 0.000 0.000 0.500
# Calculated volume ... 289.2 Å³ per cell
# Total DFT energy (no corrections) ... -52.2 eV/cell
# Energy of formation ... -0.18 eV per atom

# KCdGa3 (PBE-GGA, relaxed)
data_KCdGa3
_symmetry_space_group_name_H-M 'P m -3 m'
_symmetry_Int_Tables_number 221
_symmetry_space_group_name_Hall '-P 4 2 3'
_cell_length_a 5.369
_cell_length_b 5.369
_cell_length_c 5.369
_cell_angle_alpha 90.00
_cell_angle_beta 90.00
_cell_angle_gamma 90.00
loop_
_atom_site_label
_atom_site_fract_x
_atom_site_fract_y
_atom_site_fract_z
K1 0.000 0.000 0.000
Cd1 0.500 0.500 0.500
Ga1 0.000 0.500 0.500
# Calculated volume ... 154.8 Å³ per cell
# Total DFT energy (no corrections) ... -9.7 eV/cell
# Energy of formation ... 0.28 eV per atom
# Energy relative to the lowest polymorph listed for this composition ... 0.0 meV per atom

# HgOs2I2 (PBE-GGA, relaxed)
data_HgOs2I2
_symmetry_space_group_name_H-M 'I 4/m m m'
_symmetry_Int_Tables_number 139
_symmetry_space_group_name_Hall '-I 4 2'
_cell_length_a 5.286
_cell_length_b 5.286
_cell_length_c 8.230
_cell_angle_alpha 90.00
_cell_angle_beta 90.00
_cell_angle_gamma 90.00
loop_
_atom_site_label
_atom_site_fract_x
_atom_site_fract_y
_atom_site_fract_z
Hg1 0.000 0.000 0.000
Os1 0.000 0.000 0.347
I1 0.000 0.500 0.250
# Calculated volume ... 229.9 Å³ per cell
# Total DFT energy (no corrections) ... -40.3 eV/cell
# Energy relative to the lowest polymorph listed for this composition ... 0.0 meV per atom
# Raw formation energy ... 1146 meV/atom